1.
# TeBrCl2 PBE relaxed
data_TeBrCl2
_cell_length_a 5.444
_cell_length_b 5.444
_cell_length_c 5.444
_cell_angle_alpha 130.18
_cell_angle_beta 130.18
_cell_angle_gamma 73.12
_symmetry_space_group_name_H-M 'P 1'
_symmetry_Int_Tables_number 1
_symmetry_space_group_name_Hall 'P 1'
loop_
_atom_site_label
_atom_site_type_symbol
_atom_site_fract_x
_atom_site_fract_y
_atom_site_fract_z
Cl1 Cl 0.500 0.500 0.000
Cl2 Cl 0.000 0.000 0.000
Br1 Br 0.750 0.250 0.500
Te1 Te 0.250 0.750 0.500
# - total energy (eV/atom) = -1.84
# - energy relative to the elements, uncorrected (meV per atom) = 286
# - polymorph energy (0 for the lowest one) (eV per atom) = 0.689



2.
# Hf2NbTl PBE relaxed
data_Hf2NbTl
_cell_length_a 5.262
_cell_length_b 6.318
_cell_length_c 10.394
_cell_angle_alpha 90.00
_cell_angle_beta 100.77
_cell_angle_gamma 90.00
_symmetry_space_group_name_H-M 'P 1'
_symmetry_Int_Tables_number 1
_symmetry_space_group_name_Hall 'P 1'
loop_
_atom_site_label
_atom_site_type_symbol
_atom_site_fract_x
_atom_site_fract_y
_atom_site_fract_z
Hf1 Hf 0.497 0.252 0.651
Nb1 Nb 0.893 0.243 0.390
Hf2 Hf 0.974 0.000 0.627
Nb2 Nb 0.893 0.757 0.390
Hf3 Hf 0.497 0.752 0.151
Hf4 Hf 0.413 0.500 0.906
Hf5 Hf 0.497 0.248 0.151
Hf6 Hf 0.974 0.500 0.127
Nb3 Nb 0.893 0.743 0.890
Hf7 Hf 0.413 0.000 0.406
Tl1 Tl 0.391 0.000 0.889
Tl2 Tl 0.996 0.500 0.648
Nb4 Nb 0.893 0.257 0.890
Hf8 Hf 0.497 0.748 0.651
Tl3 Tl 0.996 0.000 0.148
Tl4 Tl 0.391 0.500 0.389
# - total energy (eV/atom) = -7.98
# - calculated formation energy (meV/atom) = 104
# - polymorph energy (0 for the lowest one) (eV per atom) = 0.122



The highest polymorph energy (0 for the lowest one) belongs to which entry?
TeBrCl2



What is the total energy in the second record?
-7.98 eV/atom



Which formula does entry 2 have?
Hf2NbTl



The lowest polymorph energy (0 for the lowest one) belongs to which entry?
Hf2NbTl